# MnGa2Sb | the Alexandria database | PBE | relaxed
# Formation energy (no corrections) in eV per atom: 0.23
# DOS(E_F) in states/eV/cell: 10.3
data_MnGa2Sb
_chemical_formula_sum 'Mn4 Ga8 Sb4'
_space_group_name_H-M_alt 'I -4 2 d'
_space_group_IT_number 122
_space_group_name_Hall 'I -4 2bw'
_cell_length_a 7.7116
_cell_length_b 7.7116
_cell_length_c 5.5054
_cell_angle_alpha 90.00
_cell_angle_beta 90.00
_cell_angle_gamma 90.00
loop_
_atom_site_label
_atom_site_type_symbol
_atom_site_fract_x
_atom_site_fract_y
_atom_site_fract_z
Mn1 Mn 0.0000 0.0000 0.0000
Ga1 Ga 0.2320 0.2500 0.1250
Sb1 Sb 0.0000 0.0000 0.5000